# 1
Material: NpSiB
Method: DFT, PBE
State: optimized geometry

Results
E: -97.54 eV for the cell shown
Calculated density: 9854 kg/m³

Cell: 5.708 5.708 5.708 Å, 90.00 90.00 90.00°
Space group F-43m (No. 216)
Symmetry-distinct sites (fractional):
Np 0.000 0.000 0.000 [4 per cell]
Si 0.000 0.000 0.500 [4 per cell]
B 0.250 0.250 0.250 [4 per cell]

# 2
Material: SmNpB
Method: DFT, PBE
State: optimized geometry

Results
E: -90.87 eV for the cell shown
Calculated density: 10330 kg/m³

Cell: 6.350 6.350 6.350 Å, 90.00 90.00 90.00°
Space group F-43m (No. 216)
Symmetry-distinct sites (fractional):
Sm 0.000 0.000 0.000 [4 per cell]
Np 0.000 0.000 0.500 [4 per cell]
B 0.250 0.250 0.750 [4 per cell]

# 3
Material: NpSnB
Method: DFT, PBE
State: optimized geometry

Results
E: -89.10 eV for the cell shown
Calculated density: 10474 kg/m³

Cell: 6.148 6.148 6.148 Å, 90.00 90.00 90.00°
Space group F-43m (No. 216)
Symmetry-distinct sites (fractional):
Np 0.000 0.000 0.000 [4 per cell]
Sn 0.000 0.000 0.500 [4 per cell]
B 0.250 0.250 0.250 [4 per cell]

# 4
Material: SrNpB
Method: DFT, PBE
State: optimized geometry

Results
E: -73.47 eV for the cell shown
Calculated density: 7793 kg/m³

Cell: 6.588 6.588 6.588 Å, 90.00 90.00 90.00°
Space group F-43m (No. 216)
Symmetry-distinct sites (fractional):
Sr 0.000 0.000 0.000 [4 per cell]
Np 0.000 0.000 0.500 [4 per cell]
B 0.250 0.250 0.750 [4 per cell]